(1)
First-principles (GGA-PBE) data for a relaxed HfTlN2 crystal, as listed in Alexandria via LeMat-Bulk.

It has space group I-42d (No. 122), with a = 5.414 Å, b = 5.414 Å, c = 9.840 Å, α = 90.00°, β = 90.00° and γ = 90.00°. The inequivalent atoms are Hf at (0.000, 0.000, 0.000), Tl at (0.000, 0.000, 0.500) and N at (0.176, 0.250, 0.125).

The value obtained for the relative energy among the computed polymorphs is 0.027 eV/atom. The calculation puts the uncorrected formation energy at -1.741 eV per formula unit. As for the calculated density: 9.46 g/cm3.

(2)
First-principles (GGA-PBE) data for a relaxed CeUIr4 crystal, as listed in Alexandria via LeMat-Bulk.

It has space group Pmma (No. 51), with a = 8.263 Å, b = 3.919 Å, c = 6.906 Å, α = 90.00°, β = 90.00° and γ = 90.00°. The inequivalent atoms are Ce at (0.250, 0.000, 0.165), U at (0.250, 0.000, 0.753), Ir at (0.000, 0.000, 0.500), Ir at (0.029, 0.500, 0.814) and Ir at (0.250, 0.500, 0.464).

As for the formation energy: -0.455 eV/atom. The value obtained for the relative energy among the computed polymorphs is 0.197 eV/atom. As for the calculated density: 17.03 g/cm3.

(3)
First-principles (GGA-PBE) data for a relaxed AcSbSe crystal, as listed in Alexandria via LeMat-Bulk.

It has space group P-6m2 (No. 187), with a = 5.1117 Å, b = 5.1117 Å, c = 4.0151 Å, α = 90.00°, β = 90.00° and γ = 120.00°. The inequivalent atoms are Ac at (0.0000, 0.0000, 0.0000), Sb at (0.6667, 0.3333, 0.5000) and Se at (0.3333, 0.6667, 0.5000).

The value obtained for the relative energy among the computed polymorphs is 0.680 eV/atom. The calculation puts the uncorrected formation energy at -2.487 eV per formula unit. As for the calculated density: 7.82 g/cm3.

(4)
First-principles (GGA-PBE) data for a relaxed ZrTaNi2 crystal, as listed in Alexandria via LeMat-Bulk.

It has space group Pnma (No. 62), with a = 6.683 Å, b = 3.582 Å, c = 10.475 Å, α = 90.00°, β = 90.00° and γ = 90.00°. The inequivalent atoms are Zr at (0.219, 0.250, 0.176), Ta at (0.076, 0.750, 0.409), Ni at (0.068, 0.250, 0.824) and Ni at (0.154, 0.750, 0.979).

As for the formation energy: -0.257 eV/atom. As for the calculated density: 10.32 g/cm3.

> Which formula does entry 2 have?

CeUIr4